Record 1
DFT (PBE) results for a geometry-optimized InSn2Au2 structure.

a b c (Å): 8.4203 8.4203 3.4064
angles (deg): 90.00 90.00 90.00
Atoms (fractional coordinates):
Au1 0.1554 0.6554 0.5000
Au2 0.6554 0.8446 0.5000
Au3 0.8446 0.3446 0.5000
Au4 0.3446 0.1554 0.5000
Sn1 0.3575 0.8575 0.0000
Sn2 0.8575 0.6425 0.0000
Sn3 0.6425 0.1425 0.0000
Sn4 0.1425 0.3575 0.0000
In1 0.0000 0.0000 0.0000
In2 0.5000 0.5000 0.0000

The formation energy is -0.007 eV/atom. Its crystal system is tetragonal. The calculation puts the energy relative to the lowest polymorph listed for this composition at 0.133 eV per atom. The uncorrected energy comes out at -34.7 eV for the cell shown.



Record 2
DFT (PBE) results for a geometry-optimized In2SnAu4 structure.

a b c (Å): 4.0993 4.0993 11.5035
angles (deg): 79.74 79.74 60.00
Atoms (fractional coordinates):
In1 0.7634 0.7634 0.7098
In2 0.2366 0.2366 0.2902
Sn1 0.0000 0.0000 0.0000
Au1 0.8572 0.8572 0.4285
Au2 0.1428 0.1428 0.5715
Au3 0.6185 0.6185 0.1445
Au4 0.3815 0.3815 0.8555

The formation energy is -0.103 eV/atom. Its crystal system is trigonal. The uncorrected energy comes out at -23.3 eV for the cell shown.



Record 3
DFT (PBE) results for a geometry-optimized InSnAu5 structure.

a b c (Å): 5.5744 6.5878 6.5878
angles (deg): 75.70 64.97 64.97
Atoms (fractional coordinates):
In1 0.2781 0.5000 0.5000
Sn1 0.7398 0.0000 0.0000
Au1 0.8106 0.2340 0.2340
Au2 0.7994 0.5000 0.5000
Au3 0.2786 0.7660 0.7660
Au4 0.3121 0.1714 0.8286
Au5 0.3121 0.8286 0.1714

The formation energy is 0.196 eV/atom. Its crystal system is orthorhombic. The uncorrected energy comes out at -21.8 eV for the cell shown.